[1]
This record from the Alexandria database describes crystalline HgSbOs2N at its relaxed geometry. The functional is PBE.

Results
The symmetry is P4/mmm, No. 123. The value obtained for the total energy is -30.3 eV/cell.

a b c (Å): 3.9835 3.9835 5.6891
angles (deg): 90.00 90.00 90.00
With the nearest neighbours (Å) after each atom.
Fractional positions:
Hg: 0.0000 0.0000 0.0000  4 Sb 2.82, 2 N 2.84
Sb: 0.5000 0.5000 0.0000  4 Hg 2.82
Os: 0.0000 0.5000 0.5000  2 N 1.99
Os: 0.5000 0.0000 0.5000  2 N 1.99
N: 0.0000 0.0000 0.5000  4 Os 1.99

=====

[2]
This record from the Alexandria database describes crystalline MnBeW at its relaxed geometry. The functional is PBE.

Results
The symmetry is P3m1, No. 156. The value obtained for the total energy is -25.6 eV/cell. The calculation puts the energy relative to the elements at 93 meV/atom.

a b c (Å): 4.0247 4.0247 2.6134
angles (deg): 90.00 90.00 120.00
With the nearest neighbours (Å) after each atom.
Fractional positions:
Mn: 0.0000 0.0000 0.0000  3 Be 2.40, 3 W 2.48, 2 Mn 2.61
Be: 0.3333 0.6667 0.7641  3 Mn 2.40, 3 W 2.58, 2 Be 2.61
W: 0.6667 0.3333 0.3331  3 Mn 2.48, 6 Be 2.58-2.76, 2 W 2.61

=====

[3]
This record from the Alexandria database describes crystalline SrN2Cl4 at its relaxed geometry. The functional is PBE.

Results
The symmetry is I4/mmm, No. 139. The value obtained for the total energy is -21.3 eV/cell.

a b c (Å): 6.1776 6.1776 6.1776
angles (deg): 101.69 101.69 126.49
With the nearest neighbours (Å) after each atom.
Fractional positions:
Sr: 0.0000 0.0000 0.0000  8 Cl 3.09
N: 0.0000 0.5000 0.5000  2 N 2.78, 8 Cl 3.09
N: 0.5000 0.0000 0.5000  2 N 2.78, 8 Cl 3.09
Cl: 0.0000 0.0000 0.5000  2 Cl 2.78, 2 Sr 3.09, 4 N 3.09
Cl: 0.0000 0.5000 0.0000  2 Cl 2.78, 2 Sr 3.09, 4 N 3.09
Cl: 0.5000 0.0000 0.0000  2 Cl 2.78, 2 Sr 3.09, 4 N 3.09
Cl: 0.5000 0.5000 0.5000  2 Cl 2.78, 2 Sr 3.09, 4 N 3.09

=====

[4]
This record from the Alexandria database describes crystalline Pr4GaSiTe2 at its relaxed geometry. The functional is PBE.

Results
The symmetry is P2/m, No. 10. The value obtained for the total energy is -42.1 eV/cell.

a b c (Å): 7.5394 4.3699 7.9357
angles (deg): 90.00 108.52 90.00
With the nearest neighbours (Å) after each atom.
Fractional positions:
Pr: 0.2375 0.0000 0.2280  2 Si 3.03, 1 Ga 3.08, 3 Te 3.21-3.26
Pr: 0.2504 0.5000 0.7645  1 Si 3.05, 2 Ga 3.09, 3 Te 3.20-3.23
Pr: 0.7496 0.5000 0.2355  1 Si 3.05, 2 Ga 3.09, 3 Te 3.20-3.23
Pr: 0.7625 0.0000 0.7720  2 Si 3.03, 1 Ga 3.08, 3 Te 3.21-3.26
Ga: 0.5000 0.0000 0.0000  6 Pr 3.08-3.09
Si: 0.0000 0.5000 0.0000  6 Pr 3.03-3.05
Te: 0.0000 0.0000 0.5000  6 Pr 3.20-3.21
Te: 0.5000 0.5000 0.5000  6 Pr 3.23-3.26

=====

[5]
This record from the Alexandria database describes crystalline DyZn4Sn at its relaxed geometry. The functional is PBE.

Results
The symmetry is F-43m, No. 216. The value obtained for the total energy is -14.7 eV/cell. The calculation puts the energy relative to the elements at -165 meV/atom.

a b c (Å): 5.4674 5.4674 5.4674
angles (deg): 60.00 60.00 60.00
With the nearest neighbours (Å) after each atom.
Fractional positions:
Dy: 0.0000 0.0000 0.0000  12 Zn 3.20, 4 Sn 3.35
Zn: 0.3747 0.3747 0.3747  6 Zn 2.73-2.74
Zn: 0.3747 0.3747 0.8760  6 Zn 2.73-2.74
Zn: 0.3747 0.8760 0.3747  6 Zn 2.73-2.74
Zn: 0.8760 0.3747 0.3747  6 Zn 2.73-2.74
Sn: 0.7500 0.7500 0.7500  12 Zn 3.21, 4 Dy 3.35

=====

[6]
This record from the Alexandria database describes crystalline Cs2MgPb at its relaxed geometry. The functional is PBE.

Results
The symmetry is C2, No. 5. The value obtained for the total energy is -7.1 eV/cell. The calculation puts the energy relative to the elements at -33 meV/atom.

a b c (Å): 7.5026 7.5026 5.3260
angles (deg): 110.41 110.41 55.44
With the nearest neighbours (Å) after each atom.
Fractional positions:
Cs: 0.1817 0.1817 0.1819  3 Mg 3.96-4.42, 2 Pb 4.04-4.23
Cs: 0.8183 0.8183 0.8181  3 Mg 3.96-4.42, 2 Pb 4.04-4.23
Mg: 0.3912 0.6088 0.5000  2 Pb 2.80
Pb: 0.5166 0.4834 0.0000  2 Mg 2.80

=====

[7]
This record from the Alexandria database describes crystalline IrPb2W at its relaxed geometry. The functional is PBE.

Results
The symmetry is R3m, No. 160. The value obtained for the total energy is -27.4 eV/cell. Its polymorph energy (0 for the lowest one) is 0.182 eV per atom. The calculation puts the energy relative to the elements at 467 meV/atom.

a b c (Å): 11.1774 11.1774 11.1774
angles (deg): 15.83 15.83 15.83
With the nearest neighbours (Å) after each atom.
Fractional positions:
Ir: 0.0000 0.0000 0.0000  3 W 2.64
Pb: 0.2568 0.2568 0.2568  6 Pb 3.08, 3 Ir 3.09
Pb: 0.4722 0.4722 0.4722  6 Pb 3.08, 3 W 3.18
W: 0.7258 0.7258 0.7258  3 Ir 2.64

=====

[8]
This record from the Alexandria database describes crystalline TeOsPdI2 at its relaxed geometry. The functional is PBE.

Results
The symmetry is P4/mmm, No. 123. The value obtained for the total energy is -17.9 eV/cell. Its polymorph energy (0 for the lowest one) is 0.000 eV per atom.

a b c (Å): 5.5963 5.5963 4.9475
angles (deg): 90.00 90.00 90.00
With the nearest neighbours (Å) after each atom.
Fractional positions:
Te: 0.0000 0.0000 0.0000  2 Os 2.47
Os: 0.0000 0.0000 0.5000  2 Te 2.47
Pd: 0.5000 0.5000 0.0000  8 I 3.73, 4 Te 3.96
I: 0.0000 0.5000 0.5000  2 Os 2.80
I: 0.5000 0.0000 0.5000  2 Os 2.80

=====

[9]
This record from the Alexandria database describes crystalline SrPmGd2 at its relaxed geometry. The functional is PBE.

Results
The symmetry is R-3m, No. 166. The value obtained for the total energy is -33.8 eV/cell. Its polymorph energy (0 for the lowest one) is 0.096 eV per atom. The calculation puts the energy relative to the elements at 192 meV/atom.

a b c (Å): 13.0378 13.0378 13.0378
angles (deg): 16.10 16.10 16.10
With the nearest neighbours (Å) after each atom.
Fractional positions:
Sr: 0.0000 0.0000 0.0000  2 Gd 3.55, 6 Sr 3.65
Pm: 0.5000 0.5000 0.5000  6 Gd 3.57, 6 Pm 3.65
Gd: 0.0920 0.0920 0.0920  1 Sr 3.55, 3 Pm 3.57, 6 Gd 3.65
Gd: 0.9080 0.9080 0.9080  1 Sr 3.55, 3 Pm 3.57, 6 Gd 3.65

=====

[10]
This record from the Alexandria database describes crystalline Pr4PBr5 at its relaxed geometry. The functional is PBE.

Results
The symmetry is C2/m, No. 12. The value obtained for the total energy is -49.7 eV/cell.

a b c (Å): 9.6173 9.6173 8.6429
angles (deg): 103.22 103.22 25.01
With the nearest neighbours (Å) after each atom.
Fractional positions:
Pr: 0.9998 0.9998 0.2204  2 P 2.82, 2 Br 3.05-3.13
Pr: 0.0002 0.0002 0.7796  2 P 2.82, 2 Br 3.05-3.13
Pr: 0.3497 0.3497 0.9185  1 P 2.74, 4 Br 3.01-3.07
Pr: 0.6503 0.6503 0.0815  1 P 2.74, 4 Br 3.01-3.07
P: 0.5000 0.5000 0.0000  6 Pr 2.74-2.82
Br: 0.1660 0.1660 0.3383  3 Pr 3.01-3.05
Br: 0.1712 0.1712 0.8354  4 Pr 3.07-3.26
Br: 0.5000 0.5000 0.5000  4 Pr 3.19
Br: 0.8288 0.8288 0.1646  4 Pr 3.07-3.26
Br: 0.8340 0.8340 0.6617  3 Pr 3.01-3.05

=====

[11]
This record from the Alexandria database describes crystalline Cs2CdBi at its relaxed geometry. The functional is PBE.

Results
The symmetry is I-42d, No. 122. The value obtained for the total energy is -12.0 eV/cell. Its polymorph energy (0 for the lowest one) is 0.389 eV per atom. The calculation puts the energy relative to the elements at 124 meV/atom.

a b c (Å): 13.4203 13.4203 13.4203
angles (deg): 155.93 155.93 34.30
With the nearest neighbours (Å) after each atom.
Fractional positions:
Cs: 0.1145 0.6250 0.9895  2 Cd 3.75, 2 Bi 3.79, 4 Cs 3.87-4.04
Cs: 0.3750 0.3645 0.4895  2 Cd 3.75, 2 Bi 3.79, 4 Cs 3.87-4.04
Cs: 0.6355 0.1250 0.0105  2 Cd 3.75, 2 Bi 3.79, 4 Cs 3.87-4.04
Cs: 0.8750 0.8855 0.5105  2 Cd 3.75, 2 Bi 3.79, 4 Cs 3.87-4.04
Cd: 0.0000 0.0000 0.0000  4 Cs 3.75, 4 Bi 3.96
Cd: 0.7500 0.2500 0.5000  4 Cs 3.75, 4 Bi 3.96
Bi: 0.2500 0.7500 0.5000  4 Cs 3.79, 4 Cd 3.96
Bi: 0.5000 0.5000 0.0000  4 Cs 3.79, 4 Cd 3.96

=====

[12]
This record from the Alexandria database describes crystalline Rb2TlHg3Bi4 at its relaxed geometry. The functional is PBE.

Results
The symmetry is P-4m2, No. 115. The value obtained for the total energy is -22.2 eV/cell. The calculation puts the energy relative to the elements at -148 meV/atom.

a b c (Å): 5.4097 5.4097 12.2797
angles (deg): 90.00 90.00 90.00
With the nearest neighbours (Å) after each atom.
Fractional positions:
Rb: 0.0000 0.5000 0.2489  6 Hg 4.08-4.11, 2 Tl 4.08, 8 Bi 4.09-4.10
Rb: 0.5000 0.0000 0.7511  6 Hg 4.08-4.11, 2 Tl 4.08, 8 Bi 4.09-4.10
Tl: 0.5000 0.5000 0.0000  4 Bi 3.14
Hg: 0.0000 0.0000 0.0000  4 Bi 3.14
Hg: 0.0000 0.5000 0.6277  5 Bi 2.97-3.13
Hg: 0.5000 0.0000 0.3723  5 Bi 2.97-3.13
Bi: 0.0000 0.0000 0.5000  4 Hg 3.13
Bi: 0.0000 0.5000 0.8694  3 Hg 2.97-3.14, 2 Tl 3.14
Bi: 0.5000 0.0000 0.1306  3 Hg 2.97-3.14, 2 Tl 3.14
Bi: 0.5000 0.5000 0.5000  4 Hg 3.13